# 1
Density functional theory data (PBE-GGA) for Th2ZnSi4Ni3 after structural relaxation.

Calculated values
Uncorrected formation energy = -0.779 eV/atom
ρ = 8.34 g/cm³
Fermi-level density of states = 3.174 states/eV per cell

Unit cell a=4.0988 b=4.0988 c=9.6959 alpha=90.00 beta=90.00 gamma=90.00
Fractional positions:
Zn (0.5000, 0.5000, 0.5000)
Ni (0.5000, 0.0000, 0.8822)
Ni (0.0000, 0.0000, 0.5000)
Ni (0.0000, 0.5000, 0.1178)
Si (0.0000, 0.0000, 0.0000)
Si (0.0000, 0.5000, 0.3610)
Si (0.5000, 0.5000, 0.0000)
Si (0.5000, 0.0000, 0.6390)
Th (0.5000, 0.0000, 0.2439)
Th (0.0000, 0.5000, 0.7561)

# 2
Density functional theory data (PBE-GGA) for Pm4TlSnO after structural relaxation.

Calculated values
Uncorrected formation energy = -1.156 eV/atom
ρ = 7.88 g/cm³
Fermi-level density of states = 10.277 states/eV per cell

Unit cell a=6.6656 b=6.6569 c=9.3443 alpha=90.00 beta=110.90 gamma=90.00
Fractional positions:
Pm (0.0000, 0.0000, 0.5000)
Pm (0.5805, 0.2500, 0.1611)
Pm (0.4195, 0.7500, 0.8389)
Pm (0.5000, 0.0000, 0.5000)
Pm (0.0000, 0.5000, 0.5000)
Pm (0.0674, 0.7500, 0.1349)
Pm (0.5000, 0.5000, 0.5000)
Pm (0.9326, 0.2500, 0.8651)
Sn (0.6105, 0.7500, 0.2209)
Sn (0.3895, 0.2500, 0.7791)
O (0.2768, 0.7500, 0.5536)
O (0.7232, 0.2500, 0.4464)
Tl (0.8873, 0.7500, 0.7745)
Tl (0.1127, 0.2500, 0.2255)

# 3
Density functional theory data (PBE-GGA) for NaZr2TcPd after structural relaxation.

Calculated values
Calculated total energy = -5.31 eV/atom
ρ = 6.57 g/cm³
Fermi-level density of states = 4.960 states/eV per cell

Unit cell a=4.9334 b=4.2585 c=4.9334 alpha=90.00 beta=90.00 gamma=90.00
Fractional positions:
Na (0.0000, 0.0000, 0.0000)
Pd (0.0000, 0.5000, 0.0000)
Zr (0.0000, 0.0000, 0.5000)
Zr (0.5000, 0.0000, 0.0000)
Tc (0.5000, 0.5000, 0.5000)

# 4
Density functional theory data (PBE-GGA) for SbMo2Os after structural relaxation.

Calculated values
Uncorrected formation energy = 0.341 eV/atom
ρ = 12.70 g/cm³
Fermi-level density of states = 3.358 states/eV per cell

Unit cell a=5.3007 b=5.3007 c=5.3007 alpha=143.68 beta=130.97 gamma=62.53
Fractional positions:
Sb (0.2522, 0.7522, 0.5000)
Mo (0.7517, 0.2517, 0.5000)
Mo (0.0032, 0.0032, 0.0000)
Os (0.4929, 0.4929, 0.0000)

# 5
Density functional theory data (PBE-GGA) for Nd2YTm after structural relaxation.

Calculated values
Calculated total energy = -5.10 eV/atom
ρ = 6.85 g/cm³
Fermi-level density of states = 6.313 states/eV per cell

Unit cell a=5.0319 b=5.1302 c=5.1302 alpha=90.00 beta=90.00 gamma=90.00
Fractional positions:
Y (0.5000, 0.0000, 0.0000)
Nd (0.0000, 0.0000, 0.5000)
Nd (0.0000, 0.5000, 0.0000)
Tm (0.5000, 0.5000, 0.5000)

# 6
Density functional theory data (PBE-GGA) for CaS3Cl after structural relaxation.

Calculated values
Uncorrected formation energy = 0.327 eV/atom
ρ = 1.76 g/cm³
Fermi-level density of states = 6.384 states/eV per cell

Unit cell a=5.4522 b=5.4522 c=5.4522 alpha=90.00 beta=90.00 gamma=90.00
Each line ends with the local moment (μB).
Fractional positions:
S (0.0000, 0.5000, 0.0000)  0.86
S (0.0000, 0.0000, 0.5000)  0.95
S (0.5000, 0.0000, 0.0000)  0.81
Cl (0.5000, 0.5000, 0.5000)  0.54
Ca (0.0000, 0.0000, 0.0000)  -0.02

# 7
Density functional theory data (PBE-GGA) for CdIrN2 after structural relaxation.

Calculated values
Uncorrected formation energy = 0.748 eV/atom
ρ = 9.41 g/cm³
Fermi-level density of states = 3.718 states/eV per cell

Unit cell a=5.0692 b=5.0692 c=5.8076 alpha=64.12 beta=64.12 gamma=90.00
Fractional positions:
N (0.3750, 0.3188, 0.7500)
N (0.0688, 0.6250, 0.2500)
N (0.6812, 0.1250, 0.2500)
N (0.8750, 0.9312, 0.7500)
Cd (0.2500, 0.7500, 0.5000)
Cd (0.5000, 0.5000, 0.0000)
Ir (0.7500, 0.2500, 0.5000)
Ir (0.0000, 0.0000, 0.0000)

# 8
Density functional theory data (PBE-GGA) for K2TlAsO4 after structural relaxation.

Calculated values
Uncorrected formation energy = -1.444 eV/atom
ρ = 4.31 g/cm³
Fermi-level density of states = 0.000 states/eV per cell

Unit cell a=5.9636 b=5.9636 c=5.9636 alpha=104.77 beta=111.87 gamma=111.87
Fractional positions:
K (0.5000, 0.7500, 0.2500)
K (0.0000, 0.0000, 0.0000)
O (0.2999, 0.7847, 0.7910)
O (0.7001, 0.4912, 0.4848)
O (0.0063, 0.5152, 0.2153)
O (0.9937, 0.2090, 0.5088)
Tl (0.5000, 0.2500, 0.7500)
As (0.0000, 0.5000, 0.5000)

# 9
Density functional theory data (PBE-GGA) for Cd2BiC after structural relaxation.

Calculated values
Calculated total energy = -2.73 eV/atom
ρ = 7.38 g/cm³
Fermi-level density of states = 8.862 states/eV per cell

Unit cell a=6.5764 b=6.5764 c=6.5681 alpha=59.96 beta=59.96 gamma=90.00
Fractional positions:
Cd (0.3750, 0.5043, 0.7500)
Cd (0.8750, 0.7457, 0.7500)
Cd (0.4957, 0.1250, 0.2500)
Cd (0.2543, 0.6250, 0.2500)
C (0.5000, 0.5000, 0.0000)
C (0.2500, 0.7500, 0.5000)
Bi (0.7500, 0.2500, 0.5000)
Bi (0.0000, 0.0000, 0.0000)

# 10
Density functional theory data (PBE-GGA) for YTe after structural relaxation.

Calculated values
Uncorrected formation energy = -1.186 eV/atom
ρ = 6.59 g/cm³
Fermi-level density of states = 1.125 states/eV per cell

Unit cell a=3.7923 b=3.7923 c=3.7923 alpha=90.00 beta=90.00 gamma=90.00
Each line ends with the local moment (μB).
Fractional positions:
Y (0.5000, 0.5000, 0.5000)  0.33
Te (0.0000, 0.0000, 0.0000)  -0.02

# 11
Density functional theory data (PBE-GGA) for HfTiAl2 after structural relaxation.

Calculated values
Calculated total energy = -6.58 eV/atom
ρ = 6.63 g/cm³
Fermi-level density of states = 4.561 states/eV per cell

Unit cell a=3.4001 b=3.4001 c=6.0697 alpha=90.00 beta=90.00 gamma=89.99
Fractional positions:
Hf (0.5000, 0.5000, 0.0000)
Al (0.0000, 0.0000, 0.2738)
Al (0.0000, 0.0000, 0.7262)
Ti (0.5000, 0.5000, 0.5000)

# 12
Density functional theory data (PBE-GGA) for GdTePt after structural relaxation.

Calculated values
Uncorrected formation energy = -1.049 eV/atom
ρ = 11.08 g/cm³
Fermi-level density of states = 2.191 states/eV per cell

Unit cell a=4.1140 b=4.4927 c=4.4927 alpha=120.00 beta=90.00 gamma=90.00
Each line ends with the local moment (μB).
Fractional positions:
Pt (0.0815, 0.0000, 0.0000)  0.00
Te (0.2232, 0.3333, 0.6667)  -0.02
Gd (0.6953, 0.6667, 0.3333)  6.96

# 13
Density functional theory data (PBE-GGA) for PuSbAu after structural relaxation.

Calculated values
Uncorrected formation energy = -0.445 eV/atom
ρ = 13.06 g/cm³
Fermi-level density of states = 9.876 states/eV per cell

Unit cell a=3.4239 b=4.9120 c=4.9120 alpha=120.00 beta=90.00 gamma=90.00
Each line ends with the local moment (μB).
Fractional positions:
Au (0.1677, 0.3333, 0.6667)  0.08
Pu (0.6664, 0.6667, 0.3333)  5.56
Sb (0.1658, 0.0000, 0.0000)  0.02

# 14
Density functional theory data (PBE-GGA) for HfAg3H after structural relaxation.

Calculated values
Calculated total energy = -2.77 eV/atom
ρ = 5.21 g/cm³
Fermi-level density of states = 3.356 states/eV per cell

Unit cell a=5.4324 b=5.4324 c=5.4324 alpha=90.00 beta=90.00 gamma=90.00
Each line ends with the local moment (μB).
Fractional positions:
Ag (0.5000, 0.0000, 0.0000)  0.00
Ag (0.0000, 0.5000, 0.0000)  0.00
Ag (0.0000, 0.0000, 0.5000)  -0.01
H (0.5000, 0.5000, 0.5000)  0.35
Hf (0.0000, 0.0000, 0.0000)  -0.33